w | The following is a GGA-PBE calculation of an optimized crystal structure of Ho4ErRh2, from the Alexandria database.

DOS(E_F): 13.0 states/eV/cell

Unit cell a=6.532 b=7.100 c=8.853 alpha=109.31 beta=110.72 gamma=90.15
Space group P1 (No. 1)
Inequivalent atoms, fractional coordinates:
Ho1 0.000 0.000 0.000
Ho2 0.001 0.505 0.006
Ho3 0.150 0.652 0.455
Ho4 0.299 0.150 0.448
Ho5 0.453 0.301 0.898
Ho6 0.703 0.578 0.627
Ho7 0.744 0.224 0.277
Ho8 0.919 0.083 0.624
Er1 0.447 0.804 0.904
Er2 0.533 0.720 0.281
Rh1 0.126 0.459 0.693
Rh2 0.325 0.346 0.211
Rh3 0.560 0.950 0.682
Rh4 0.886 0.852 0.220

---

x | The following is a GGA-PBE calculation of an optimized crystal structure of Ho4ErRh2, from the Alexandria database.

DOS(E_F): 15.4 states/eV/cell

Unit cell a=7.810 b=6.312 c=7.812 alpha=90.00 beta=112.61 gamma=90.00
Space group P2_1/m (No. 11)
Inequivalent atoms, fractional coordinates:
Ho1 0.018 0.250 0.383
Ho2 0.247 0.750 0.335
Ho3 0.412 0.003 0.763
Er1 0.159 0.250 0.028
Rh1 0.251 0.750 0.988
Rh2 0.375 0.250 0.411

---

Winner for stability: w